{
  "formula": "BaV2SnO8",
  "functional": "GGA+U",
  "state": "relaxed",
  "lattice": [[-2.161, 4.080, 3.079], [-3.255, -4.088, -1.870], [1.392, -3.951, 6.212]],
  "species": ["O", "O", "O", "O", "O", "O", "O", "O", "Sn", "V", "V", "Ba"],
  "fractional_positions": [[0.096, 0.324, 0.674], [0.676, 0.772, 0.674], [0.324, 0.228, 0.326], [0.904, 0.676, 0.326], [0.228, 0.904, 0.674], [0.772, 0.096, 0.326], [0.667, 0.333, 0.036], [0.333, 0.667, 0.964], [0.000, 0.000, 0.500], [0.667, 0.333, 0.260], [0.333, 0.667, 0.740], [0.000, 0.000, 0.000]],
  "m_tot_mub_per_atom": 0.00,
  "dos_at_fermi_per_ev_fu": 0.000,
  "dft_energy_ev_per_atom": -7.12
}